The following is a PBE calculation of an optimized crystal structure of CaLa2PrNd, from the Alexandria database.

Cell lengths 6.033, 6.534, 10.041 Å; angles 70.73, 90.00, 90.00 degrees
Atoms (fractional coordinates):
Nd1 0.750 0.161 0.002
Nd2 0.250 0.839 0.998
La1 0.250 0.041 0.592
La2 0.750 0.959 0.408
La3 0.250 0.220 0.205
La4 0.750 0.780 0.795
Ca1 0.250 0.434 0.802
Ca2 0.750 0.566 0.198
Pr1 0.250 0.642 0.396
Pr2 0.750 0.358 0.604

Summary:
**Total DFT energy (no corrections)**: -4.222 eV per atom

=====

The following is a PBE calculation of an optimized crystal structure of La3NdRu, from the Alexandria database.

Cell lengths 5.600, 5.600, 5.600 Å; angles 90.00, 90.00, 90.00 degrees
Atoms (fractional coordinates):
La1 0.000 0.000 0.500
La2 0.000 0.500 0.000
La3 0.500 0.000 0.000
Ru1 0.000 0.000 0.000
Nd1 0.500 0.500 0.500

Summary:
**Energy above the most stable polymorph in this dataset**: 93.0 meV/atom

=====

The following is a PBE calculation of an optimized crystal structure of Y6Ho8Mg, from the Alexandria database.

Cell lengths 6.622, 9.244, 9.244 Å; angles 120.00, 90.00, 90.00 degrees
Atoms (fractional coordinates):
Y1 0.606 0.411 0.320
Y2 0.606 0.909 0.589
Y3 0.394 0.091 0.411
Y4 0.394 0.589 0.680
Y5 0.606 0.680 0.091
Y6 0.394 0.320 0.909
Ho1 0.889 0.990 0.311
Ho2 0.889 0.689 0.679
Ho3 0.841 0.333 0.667
Ho4 0.111 0.679 0.990
Ho5 0.159 0.667 0.333
Ho6 0.111 0.010 0.689
Ho7 0.889 0.321 0.010
Ho8 0.111 0.311 0.321
Mg1 0.500 0.000 0.000

Summary:
**Energy above the most stable polymorph in this dataset**: 148.0 meV/atom

=====

The following is a PBE calculation of an optimized crystal structure of POsW2, from the Alexandria database.

Cell lengths 2.903, 2.903, 6.821 Å; angles 90.00, 90.00, 90.00 degrees
Atoms (fractional coordinates):
Os1 0.500 0.500 0.000
W1 0.000 0.000 0.726
W2 0.000 0.000 0.274
P1 0.500 0.500 0.500

Summary:
**Total DFT energy (no corrections)**: -10.733 eV per atom